Record 1
{
  "formula": "Tm4Ge6Ir7",
  "functional": "PBE",
  "state": "optimized geometry",
  "lattice_angstrom": [[-4.173, 4.173, 4.173], [4.173, -4.173, 4.173], [4.173, 4.173, -4.173]],
  "species": ["Tm", "Tm", "Tm", "Tm", "Ge", "Ge", "Ge", "Ge", "Ge", "Ge", "Ir", "Ir", "Ir", "Ir", "Ir", "Ir", "Ir"],
  "fractional_positions": [[0.000, 0.000, 0.500], [0.000, 0.500, 0.000], [0.500, 0.000, 0.000], [0.500, 0.500, 0.500], [0.000, 0.316, 0.316], [0.000, 0.684, 0.684], [0.316, 0.000, 0.316], [0.316, 0.316, 0.000], [0.684, 0.000, 0.684], [0.684, 0.684, 0.000], [0.000, 0.000, 0.000], [0.250, 0.500, 0.750], [0.250, 0.750, 0.500], [0.500, 0.250, 0.750], [0.500, 0.750, 0.250], [0.750, 0.250, 0.500], [0.750, 0.500, 0.250]],
  "magnetic_moment_mub_per_atom": 0.000,
  "total_energy_ev_per_cell": -122.72,
  "volume_a3_per_atom": 17.10,
  "spacegroup": "Im-3m, No. 229"
}

***

Record 2
{
  "formula": "TmGeIr",
  "functional": "PBE",
  "state": "optimized geometry",
  "lattice_angstrom": [[6.767, 0.000, 0.000], [0.000, 4.269, 0.000], [0.000, 0.000, 7.643]],
  "species": ["Tm", "Tm", "Tm", "Tm", "Ge", "Ge", "Ge", "Ge", "Ir", "Ir", "Ir", "Ir"],
  "fractional_positions": [[0.012, 0.250, 0.191], [0.488, 0.750, 0.691], [0.512, 0.250, 0.309], [0.988, 0.750, 0.809], [0.212, 0.750, 0.386], [0.288, 0.250, 0.886], [0.712, 0.750, 0.114], [0.788, 0.250, 0.614], [0.163, 0.250, 0.563], [0.337, 0.750, 0.063], [0.663, 0.250, 0.937], [0.837, 0.750, 0.437]],
  "magnetic_moment_mub_per_atom": 0.000,
  "total_energy_ev_per_cell": -83.22,
  "volume_a3_per_atom": 18.40,
  "spacegroup": "Pnma, No. 62"
}